[1]
This record from the Alexandria database describes a relaxed RbMg14B crystal. The functional is GGA-PBE.

Cell: 6.809 6.809 10.128 Å, 90.00 90.00 125.39°
Fractional positions:
1 Rb 0.807 0.193 0.500
2 Mg 0.833 0.167 0.000
3 Mg 0.322 0.678 0.000
4 Mg 0.311 0.179 0.500
5 Mg 0.313 0.175 0.000
6 Mg 0.821 0.689 0.500
7 Mg 0.825 0.687 0.000
8 Mg 0.185 0.345 0.254
9 Mg 0.185 0.345 0.746
10 Mg 0.655 0.815 0.254
11 Mg 0.655 0.815 0.746
12 Mg 0.660 0.340 0.227
13 Mg 0.660 0.340 0.773
14 Mg 0.172 0.828 0.261
15 Mg 0.172 0.828 0.739
16 B 0.424 0.576 0.500

energy relative to the elements	275	meV/atom

[2]
This record from the Alexandria database describes a relaxed K3Li crystal. The functional is GGA-PBE.

Cell: 6.856 6.856 6.856 Å, 60.00 60.00 60.00°
Fractional positions:
1 K 0.250 0.250 0.250
2 K 0.750 0.750 0.750
3 K 0.500 0.500 0.500
4 Li 0.000 0.000 0.000

energy relative to the elements	111	meV/atom

[3]
This record from the Alexandria database describes a relaxed Sm2Zn2Au crystal. The functional is GGA-PBE.

Cell: 4.574 5.692 10.012 Å, 88.40 76.79 66.31°
Fractional positions:
1 Sm 0.685 0.293 0.337
2 Sm 0.917 0.276 0.889
3 Sm 0.315 0.707 0.663
4 Sm 0.083 0.724 0.111
5 Zn 0.075 0.288 0.562
6 Zn 0.629 0.852 0.889
7 Zn 0.925 0.712 0.438
8 Zn 0.371 0.148 0.111
9 Au 0.608 0.120 0.663
10 Au 0.392 0.880 0.337

energy relative to the elements	-489	meV/atom

[4]
This record from the Alexandria database describes a relaxed Ca4Hg3Bi8 crystal. The functional is GGA-PBE.

Cell: 4.745 4.745 20.118 Å, 90.00 90.00 90.00°
Fractional positions:
1 Ca 0.500 0.000 0.378
2 Ca 0.500 0.000 0.888
3 Ca 0.000 0.500 0.112
4 Ca 0.000 0.500 0.622
5 Hg 0.500 0.500 0.500
6 Hg 0.000 0.000 0.000
7 Hg 0.000 0.000 0.500
8 Bi 0.500 0.000 0.094
9 Bi 0.500 0.000 0.611
10 Bi 0.000 0.500 0.389
11 Bi 0.000 0.500 0.906
12 Bi 0.500 0.500 0.245
13 Bi 0.500 0.500 0.755
14 Bi 0.000 0.000 0.246
15 Bi 0.000 0.000 0.754

energy relative to the elements	-390	meV/atom

[5]
This record from the Alexandria database describes a relaxed PmErCuAu crystal. The functional is GGA-PBE.

Cell: 5.064 5.064 5.064 Å, 60.00 60.00 60.00°
Fractional positions:
1 Pm 0.000 0.000 0.000
2 Au 0.750 0.750 0.750
3 Cu 0.250 0.250 0.250
4 Er 0.500 0.500 0.500

energy relative to the elements	-508	meV/atom

[6]
This record from the Alexandria database describes a relaxed ZnGa5Cu3 crystal. The functional is GGA-PBE.

Cell: 6.564 6.564 10.043 Å, 61.44 61.44 90.34°
Fractional positions:
1 Zn 0.001 0.001 0.748
2 Zn 0.999 0.999 0.252
3 Ga 0.957 0.439 0.390
4 Ga 0.261 0.739 0.000
5 Ga 0.677 0.677 0.076
6 Ga 0.342 0.342 0.418
7 Ga 0.658 0.658 0.582
8 Ga 0.323 0.323 0.924
9 Ga 0.439 0.957 0.390
10 Ga 0.739 0.261 0.000
11 Ga 0.043 0.561 0.610
12 Ga 0.561 0.043 0.610
13 Cu 0.669 0.669 0.831
14 Cu 0.669 0.669 0.328
15 Cu 0.000 0.000 0.000
16 Cu 0.000 0.000 0.500
17 Cu 0.331 0.331 0.169
18 Cu 0.331 0.331 0.672

energy relative to the elements	56	meV/atom

[7]
This record from the Alexandria database describes a relaxed RbSc2Mo crystal. The functional is GGA-PBE.

Cell: 5.127 5.127 5.127 Å, 60.00 60.00 60.00°
Site moments in Bohr magnetons follow the coordinates.
Fractional positions:
1 Sc 0.250 0.250 0.250  -0.07
2 Sc 0.750 0.750 0.750  -0.07
3 Mo 0.500 0.500 0.500  0.84
4 Rb 0.000 0.000 0.000  0.01

energy relative to the elements	1043	meV/atom

[8]
This record from the Alexandria database describes a relaxed Rb8AlAu3O4 crystal. The functional is GGA-PBE.

Cell: 10.620 13.131 13.536 Å, 90.00 90.00 90.00°
Fractional positions:
1 Rb 0.908 0.956 0.489
2 Rb 0.849 0.304 0.935
3 Rb 0.525 0.450 0.014
4 Rb 0.092 0.456 0.011
5 Rb 0.349 0.196 0.065
6 Rb 0.657 0.472 0.739
7 Rb 0.385 0.232 0.350
8 Rb 0.735 0.252 0.179
9 Rb 0.235 0.248 0.821
10 Rb 0.885 0.268 0.650
11 Rb 0.843 0.528 0.239
12 Rb 0.988 0.249 0.361
13 Rb 0.765 0.748 0.679
14 Rb 0.818 0.961 0.233
15 Rb 0.265 0.752 0.321
16 Rb 0.012 0.749 0.139
17 Rb 0.151 0.804 0.565
18 Rb 0.975 0.550 0.514
19 Rb 0.488 0.251 0.639
20 Rb 0.025 0.050 0.986
21 Rb 0.343 0.972 0.761
22 Rb 0.318 0.539 0.767
23 Rb 0.682 0.039 0.733
24 Rb 0.408 0.544 0.511
25 Rb 0.512 0.751 0.861
26 Rb 0.182 0.461 0.267
27 Rb 0.615 0.732 0.150
28 Rb 0.592 0.044 0.989
29 Rb 0.157 0.028 0.261
30 Rb 0.651 0.696 0.435
31 Rb 0.115 0.768 0.850
32 Rb 0.475 0.950 0.486
33 Al 0.057 0.246 0.139
34 Al 0.443 0.754 0.639
35 Al 0.943 0.746 0.361
36 Al 0.557 0.254 0.861
37 Au 0.690 0.386 0.446
38 Au 0.305 0.661 0.048
39 Au 0.695 0.161 0.452
40 Au 0.028 0.030 0.715
41 Au 0.310 0.886 0.054
42 Au 0.972 0.530 0.785
43 Au 0.528 0.470 0.285
44 Au 0.190 0.114 0.554
45 Au 0.810 0.614 0.946
46 Au 0.805 0.839 0.952
47 Au 0.195 0.339 0.548
48 Au 0.472 0.970 0.215
49 O 0.808 0.743 0.277
50 O 0.894 0.747 0.490
51 O 0.471 0.138 0.832
52 O 0.192 0.243 0.223
53 O 0.029 0.862 0.332
54 O 0.308 0.757 0.723
55 O 0.042 0.636 0.334
56 O 0.106 0.247 0.010
57 O 0.529 0.638 0.668
58 O 0.958 0.136 0.166
59 O 0.394 0.753 0.510
60 O 0.606 0.253 0.990
61 O 0.692 0.257 0.777
62 O 0.542 0.864 0.666
63 O 0.458 0.364 0.834
64 O 0.971 0.362 0.168

formation energy (no corrections)	-1763	kJ/mol of formula units